This record from Alexandria describes Ba2HgP after structural relaxation. The functional is GGA-PBE.

Properties
electronic total energy = -11.68 eV per formula unit
density of states at the Fermi level = 1.05 states/eV per atom
ΔH_f (0 K) = -0.530 eV/atom
distance to the lowest polymorph of the same formula = 0.2340 eV/atom

a = 4.8323 Å, b = 4.8323 Å, c = 6.7216 Å
α = 90.00°, β = 90.00°, γ = 90.00°
Last column: nearest neighbours and their distance in Å.
Space group P4mm (No. 99)
Asymmetric unit:
Ba 0.0000 0.0000 0.0000 [1 per cell]  2 Hg 3.36, 4 P 3.42
Ba 0.5000 0.5000 0.4980 [1 per cell]  2 P 3.36, 4 Hg 3.42
Hg 0.0000 0.0000 0.5006 [1 per cell]  6 Ba 3.36-3.42
P 0.5000 0.5000 0.9977 [1 per cell]  6 Ba 3.36-3.42


This record from Alexandria describes TlFe3Bi after structural relaxation. The functional is GGA-PBE.

Properties
electronic total energy = -24.95 eV per formula unit
density of states at the Fermi level = 1.34 states/eV per atom
ΔH_f (0 K) = 1.336 eV/atom
distance to the lowest polymorph of the same formula = 0.0000 eV/atom

a = 4.9767 Å, b = 4.9767 Å, c = 4.9767 Å
α = 90.00°, β = 90.00°, γ = 90.00°
Last column: nearest neighbours and their distance in Å.
Space group Pm-3m (No. 221)
Asymmetric unit:
Tl 0.0000 0.0000 0.0000 [1 per cell]  12 Fe 3.52
Fe 0.0000 0.5000 0.5000 [3 per cell]  2 Bi 2.49
Bi 0.5000 0.5000 0.5000 [1 per cell]  6 Fe 2.49


This record from Alexandria describes Zr3TiTe4 after structural relaxation. The functional is GGA-PBE.

Properties
electronic total energy = -52.54 eV per formula unit
density of states at the Fermi level = 0.56 states/eV per atom

a = 7.5889 Å, b = 6.9775 Å, c = 7.2773 Å
α = 90.00°, β = 90.00°, γ = 90.00°
Last column: nearest neighbours and their distance in Å.
Space group Pmn2_1 (No. 31)
Asymmetric unit:
Zr 0.0000 0.0625 0.0000 [2 per cell]  6 Te 2.87-3.04
Zr 0.2468 0.4385 0.0171 [4 per cell]  6 Te 2.87-3.09
Ti 0.0000 0.9317 0.4996 [2 per cell]  6 Te 2.77-3.02
Te 0.0000 0.3168 0.3096 [2 per cell]  5 Zr 2.87-2.98, 1 Ti 3.02
Te 0.0000 0.6824 0.7967 [2 per cell]  1 Ti 2.77, 5 Zr 2.92-3.04
Te 0.2487 0.8294 0.2171 [4 per cell]  4 Zr 2.87-3.09, 2 Ti 2.88-2.99


This record from Alexandria describes BaAc9Co3 after structural relaxation. The functional is GGA-PBE.

Properties
electronic total energy = -59.17 eV per formula unit
density of states at the Fermi level = 1.06 states/eV per atom
ΔH_f (0 K) = 0.081 eV/atom

a = 7.9470 Å, b = 11.3131 Å, c = 11.7525 Å
α = 90.00°, β = 95.38°, γ = 90.00°
Last column: nearest neighbours and their distance in Å.
Space group P2_1/m (No. 11)
Asymmetric unit:
Ba 0.0691 0.2500 0.3653 [2 per cell]  10 Ac 3.81-4.25
Ac 0.0423 0.2500 0.0399 [2 per cell]  2 Co 2.88
Ac 0.1537 0.0400 0.7935 [4 per cell]  2 Co 2.85-2.90
Ac 0.2649 0.5520 0.4714 [4 per cell]  2 Co 2.85-3.01
Ac 0.3261 0.5558 0.1238 [4 per cell]  2 Co 2.80-2.92
Ac 0.4069 0.2500 0.6294 [2 per cell]  2 Co 2.88
Ac 0.4531 0.7500 0.7510 [2 per cell]  2 Co 2.99
Co 0.0000 0.0000 0.0000 [2 per cell]  6 Ac 2.85-2.92
Co 0.4589 0.0034 0.6805 [4 per cell]  6 Ac 2.80-3.01